1.
The following is a DFT calculation (PBE) of a relaxed Ba3InIr3 crystal.

Computed properties:
V ... 28.5 Å³ per atom
Formation energy from the elements ... -0.21 eV/atom

a = 4.638 Å, b = 6.359 Å, c = 14.532 Å
α = 90.00°, β = 90.00°, γ = 111.39°
Positions (direct):
Ir (0.932, 0.863, 0.594)
Ir (0.838, 0.677, 0.750)
Ir (0.068, 0.137, 0.406)
Ir (0.932, 0.863, 0.906)
Ir (0.068, 0.137, 0.094)
Ir (0.162, 0.323, 0.250)
In (0.500, 0.000, 0.500)
In (0.500, 0.000, 0.000)
Ba (0.776, 0.551, 0.391)
Ba (0.224, 0.449, 0.609)
Ba (0.484, 0.968, 0.250)
Ba (0.776, 0.551, 0.109)
Ba (0.224, 0.449, 0.891)
Ba (0.516, 0.032, 0.750)

---

2.
The following is a DFT calculation (PBE) of a relaxed BaInIr3 crystal.

Computed properties:
V ... 25.3 Å³ per atom
Distance to the lowest polymorph of the same formula ... 0 meV/atom
Formation energy from the elements ... 1.11 eV/atom

a = 5.020 Å, b = 5.020 Å, c = 5.020 Å
α = 90.00°, β = 90.00°, γ = 90.00°
Positions (direct):
Ir (0.000, 0.000, 0.500)
Ir (0.000, 0.500, 0.000)
Ir (0.500, 0.000, 0.000)
Ba (0.500, 0.500, 0.500)
In (0.000, 0.000, 0.000)

---

3.
The following is a DFT calculation (PBE) of a relaxed BaInIr2 crystal.

Computed properties:
V ... 25.5 Å³ per atom
Formation energy from the elements ... 0.14 eV/atom

a = 3.975 Å, b = 3.514 Å, c = 7.411 Å
α = 80.68°, β = 90.00°, γ = 90.00°
Positions (direct):
Ir (0.000, 0.892, 0.078)
Ir (0.500, 0.286, 0.133)
In (0.500, 0.850, 0.822)
Ba (0.000, 0.471, 0.467)

---

4.
The following is a DFT calculation (PBE) of a relaxed BaIn2Ir crystal.

Computed properties:
V ... 26.4 Å³ per atom
Formation energy from the elements ... -0.06 eV/atom

a = 3.784 Å, b = 3.514 Å, c = 8.696 Å
α = 66.13°, β = 90.00°, γ = 90.00°
Positions (direct):
Ba (0.500, 0.782, 0.717)
Ir (0.000, 0.573, 0.428)
In (0.500, 0.204, 0.297)
In (0.000, 0.941, 0.058)

---

5.
The following is a DFT calculation (PBE) of a relaxed BaIn3Ir crystal.

Computed properties:
V ... 26.5 Å³ per atom
Formation energy from the elements ... -0.34 eV/atom

a = 4.648 Å, b = 9.292 Å, c = 12.284 Å
α = 90.00°, β = 90.00°, γ = 90.00°
Positions (direct):
In (0.250, 0.379, 0.723)
In (0.750, 0.140, 0.779)
In (0.250, 0.360, 0.279)
In (0.750, 0.621, 0.277)
In (0.750, 0.444, 0.920)
In (0.750, 0.944, 0.580)
In (0.250, 0.556, 0.080)
In (0.750, 0.121, 0.223)
In (0.250, 0.056, 0.420)
In (0.250, 0.879, 0.777)
In (0.750, 0.640, 0.721)
In (0.250, 0.860, 0.221)
Ir (0.750, 0.893, 0.356)
Ir (0.750, 0.393, 0.144)
Ir (0.250, 0.607, 0.856)
Ir (0.250, 0.107, 0.644)
Ba (0.250, 0.185, 0.999)
Ba (0.750, 0.815, 0.001)
Ba (0.750, 0.315, 0.499)
Ba (0.250, 0.685, 0.501)

---

6.
The following is a DFT calculation (PBE) of a relaxed Ba2InIr crystal.

Computed properties:
V ... 41.0 Å³ per atom
Formation energy from the elements ... -0.26 eV/atom

a = 4.912 Å, b = 4.912 Å, c = 8.886 Å
α = 75.22°, β = 75.22°, γ = 52.93°
Positions (direct):
Ir (0.239, 0.239, 0.376)
Ba (0.783, 0.783, 0.629)
Ba (0.928, 0.928, 0.120)
In (0.550, 0.550, 0.375)